NdSm2Rh | PBE | optimized geometry

Unit cell a=10.8558 b=10.8558 c=10.8558 alpha=19.97 beta=19.97 gamma=19.97
Fractional coordinates of all 4 atoms:
Nd: 0.0000 0.0000 0.0000
Sm: 0.1122 0.1122 0.1122
Sm: 0.8878 0.8878 0.8878
Rh: 0.5000 0.5000 0.5000

* space-group type: No. 166
* E above lowest polymorph: 313 meV per atom
* total magnetization: 0.1965 μB per atom

---

Nd3SmRh | PBE | optimized geometry

Unit cell a=6.4551 b=6.4551 c=14.0982 alpha=113.29 beta=113.29 gamma=34.85
Fractional coordinates of all 10 atoms:
Nd: 0.0000 0.0000 0.0000
Nd: 0.0091 0.0091 0.3604
Nd: 0.3426 0.3426 0.4735
Nd: 0.4507 0.4507 0.7539
Nd: 0.6611 0.6611 0.2370
Nd: 0.6700 0.6700 0.5998
Sm: 0.2198 0.2198 0.8471
Sm: 0.3274 0.3274 0.1232
Rh: 0.0084 0.0084 0.6314
Rh: 0.6663 0.6663 0.9706

* space-group type: No. 8
* E above lowest polymorph: 0 meV per atom
* total magnetization: 0.0000 μB per atom

---

Nd2Sm2Rh3 | PBE | optimized geometry

Unit cell a=4.1835 b=6.9094 c=7.0748 alpha=98.98 beta=90.08 gamma=107.58
Fractional coordinates of all 7 atoms:
Nd: 0.1348 0.2664 0.3629
Nd: 0.8652 0.7336 0.6371
Sm: 0.3736 0.7460 0.1067
Sm: 0.6264 0.2540 0.8933
Rh: 0.0000 0.0000 0.0000
Rh: 0.2369 0.4765 0.7443
Rh: 0.7631 0.5235 0.2557

* space-group type: No. 2
* E above lowest polymorph: 83 meV per atom
* total magnetization: 0.0000 μB per atom

---

NdSm5Rh6 | PBE | optimized geometry

Unit cell a=7.8871 b=7.8871 c=6.9315 alpha=90.00 beta=90.00 gamma=143.13
Fractional coordinates of all 12 atoms:
Nd: 0.0000 0.0000 0.0000
Sm: 0.0000 0.0000 0.5000
Sm: 0.3330 0.6670 0.0000
Sm: 0.3333 0.6667 0.5000
Sm: 0.6670 0.3330 0.0000
Sm: 0.6667 0.3333 0.5000
Rh: 0.1677 0.8323 0.2510
Rh: 0.1677 0.8323 0.7490
Rh: 0.5000 0.5000 0.2529
Rh: 0.5000 0.5000 0.7471
Rh: 0.8323 0.1677 0.2510
Rh: 0.8323 0.1677 0.7490

* space-group type: No. 65
* total magnetization: 0.0000 μB per atom

---

no.,energy relative to the elements (eV per atom)
1,-0.135
2,-0.322
3,-0.568
4,-0.706